# 1
Entry from the Alexandria database: an optimized crystal structure of Sm2YZr (PBE). Values from VASP.

The energy comes out at -23.57 eV per cell.

The structure in Quantum ESPRESSO input format:
```
&SYSTEM
  ibrav = 0, nat = 4, ntyp = 3
/
ATOMIC_SPECIES
Y 88.91 Y.upf
Zr 91.22 Zr.upf
Sm 150.36 Sm.upf
CELL_PARAMETERS angstrom
5.546 0.000 0.000
2.773 4.803 0.000
2.773 1.601 4.528
ATOMIC_POSITIONS crystal
Y 0.000 0.000 0.000
Zr 0.500 0.500 0.500
Sm 0.250 0.250 0.250
Sm 0.750 0.750 0.750
```

# 2
Entry from the Alexandria database: an optimized crystal structure of Sm2Y12Zr (PBE). Values from VASP.

The energy comes out at -189.40 eV per cell.

The structure in Quantum ESPRESSO input format:
```
&SYSTEM
  ibrav = 0, nat = 30, ntyp = 3
/
ATOMIC_SPECIES
Sm 150.36 Sm.upf
Y 88.91 Y.upf
Zr 91.22 Zr.upf
CELL_PARAMETERS angstrom
-5.367 -3.035 2.441
-3.498 -3.260 -4.063
11.062 -24.603 -1.443
ATOMIC_POSITIONS crystal
Sm 0.483 0.968 0.279
Sm 0.936 0.453 0.248
Sm 0.017 0.532 0.721
Sm 0.564 0.047 0.752
Y 0.679 0.418 0.820
Y 0.120 0.895 0.789
Y 0.784 0.779 0.892
Y 0.352 0.612 0.922
Y 0.052 0.806 0.317
Y 0.148 0.888 0.078
Y 0.749 0.451 0.530
Y 0.596 0.327 0.343
Y 0.237 0.256 0.856
Y 0.716 0.721 0.108
Y 0.334 0.346 0.610
Y 0.751 0.049 0.470
Y 0.904 0.173 0.657
Y 0.166 0.154 0.390
Y 0.263 0.244 0.144
Y 0.708 0.675 0.405
Y 0.792 0.825 0.595
Y 0.821 0.082 0.180
Y 0.263 0.957 0.538
Y 0.448 0.694 0.683
Y 0.926 0.115 0.955
Y 0.380 0.605 0.211
Y 0.237 0.543 0.462
Y 0.574 0.385 0.045
Zr 0.464 0.011 0.986
Zr 0.036 0.489 0.014
```

# 3
Entry from the Alexandria database: an optimized crystal structure of SmY2Zr (PBE). Values from VASP.

The energy comes out at -25.84 eV per cell.

The structure in Quantum ESPRESSO input format:
```
&SYSTEM
  ibrav = 0, nat = 4, ntyp = 3
/
ATOMIC_SPECIES
Sm 150.36 Sm.upf
Y 88.91 Y.upf
Zr 91.22 Zr.upf
CELL_PARAMETERS angstrom
-2.530 -1.405 1.951
0.545 -3.028 1.649
3.188 4.136 10.235
ATOMIC_POSITIONS crystal
Sm 0.500 0.500 0.499
Y 0.078 0.078 0.767
Y 0.255 0.255 0.234
Zr 0.666 0.666 0.001
```

# 4
Entry from the Alexandria database: an optimized crystal structure of Yb3Sm (PBE). Values from VASP.

The energy comes out at -19.20 eV per cell.

The structure in Quantum ESPRESSO input format:
```
&SYSTEM
  ibrav = 0, nat = 8, ntyp = 2
/
ATOMIC_SPECIES
Yb 173.04 Yb.upf
Sm 150.36 Sm.upf
CELL_PARAMETERS angstrom
-4.926 2.635 -4.721
-2.218 -3.524 6.013
-0.102 5.145 2.978
ATOMIC_POSITIONS crystal
Yb 0.169 0.338 0.250
Yb 0.662 0.831 0.250
Yb 0.169 0.831 0.250
Yb 0.831 0.662 0.750
Yb 0.338 0.169 0.750
Yb 0.831 0.169 0.750
Sm 0.333 0.667 0.750
Sm 0.667 0.333 0.250
```

# 5
Entry from the Alexandria database: an optimized crystal structure of Yb6Sm (PBE). Values from VASP.

The energy comes out at -6.03 eV per cell.

The structure in Quantum ESPRESSO input format:
```
&SYSTEM
  ibrav = 0, nat = 7, ntyp = 2
/
ATOMIC_SPECIES
Yb 173.04 Yb.upf
Sm 150.36 Sm.upf
CELL_PARAMETERS angstrom
7.487 0.000 0.000
-2.496 7.059 0.000
-2.496 -3.529 6.113
ATOMIC_POSITIONS crystal
Yb 0.250 0.750 0.500
Yb 0.500 0.750 0.250
Yb 0.250 0.500 0.750
Yb 0.750 0.250 0.500
Yb 0.500 0.250 0.750
Yb 0.750 0.500 0.250
Sm 0.000 0.000 0.000
```

# 6
Entry from the Alexandria database: an optimized crystal structure of SmZn3 (PBE). Values from VASP.

The energy comes out at -9.28 eV per cell.

The structure in Quantum ESPRESSO input format:
```
&SYSTEM
  ibrav = 0, nat = 4, ntyp = 2
/
ATOMIC_SPECIES
Zn 65.41 Zn.upf
Sm 150.36 Sm.upf
CELL_PARAMETERS angstrom
-2.818 2.631 1.906
-0.414 -2.829 3.293
3.269 1.975 2.108
ATOMIC_POSITIONS crystal
Zn 0.000 0.000 0.917
Zn 0.500 0.000 0.417
Zn 0.500 0.500 0.917
Sm 0.000 0.500 0.417
```

# 7
Entry from the Alexandria database: an optimized crystal structure of Sm3Zn2 (PBE). Values from VASP.

The energy comes out at -17.97 eV per cell.

The structure in Quantum ESPRESSO input format:
```
&SYSTEM
  ibrav = 0, nat = 5, ntyp = 2
/
ATOMIC_SPECIES
Sm 150.36 Sm.upf
Zn 65.41 Zn.upf
CELL_PARAMETERS angstrom
-1.357 1.797 2.884
0.298 -3.031 2.029
9.594 3.262 0.162
ATOMIC_POSITIONS crystal
Sm 0.000 0.000 0.000
Sm 0.181 0.181 0.363
Sm 0.819 0.819 0.637
Zn 0.408 0.408 0.817
Zn 0.592 0.592 0.183
```

# 8
Entry from the Alexandria database: an optimized crystal structure of Sm4Zn3 (PBE). Values from VASP.

The energy comes out at -23.98 eV per cell.

The structure in Quantum ESPRESSO input format:
```
&SYSTEM
  ibrav = 0, nat = 7, ntyp = 2
/
ATOMIC_SPECIES
Sm 150.36 Sm.upf
Zn 65.41 Zn.upf
CELL_PARAMETERS angstrom
4.901 0.000 1.461
2.233 4.363 1.461
0.066 0.041 8.729
ATOMIC_POSITIONS crystal
Sm 0.621 0.621 0.137
Sm 0.873 0.873 0.382
Sm 0.127 0.127 0.618
Sm 0.379 0.379 0.863
Zn 0.253 0.253 0.242
Zn 0.747 0.747 0.758
Zn 0.000 0.000 0.000
```

Number 1: E_form 0.220 eV/atom. Number 2: E_form 0.057 eV/atom. Number 3: E_form 0.089 eV/atom. Number 4: E_form -0.076 eV/atom. Number 5: E_form 1.121 eV/atom. Number 6: E_form -0.184 eV/atom. Number 7: E_form -0.252 eV/atom. Number 8: E_form -0.183 eV/atom.